# 1
{
  "formula": "Y4AlCo",
  "functional": "PBE",
  "state": "optimized geometry",
  "cell": [[0.000, 4.324, 4.324], [4.324, 0.000, 4.324], [4.324, 4.324, 0.000]],
  "species": ["Y", "Y", "Y", "Y", "Al", "Co"],
  "fractional_positions": [[0.875, 0.375, 0.375], [0.375, 0.375, 0.875], [0.375, 0.875, 0.375], [0.375, 0.375, 0.375], [0.750, 0.750, 0.750], [0.000, 0.000, 0.000]],
  "polymorph_energy_mev_per_atom": 928,
  "volume_a3_per_atom": 26.94
}

# 2
{
  "formula": "Y2AlCo2",
  "functional": "PBE",
  "state": "optimized geometry",
  "cell": [[5.274, 0.000, 0.000], [0.000, 5.274, 0.000], [2.637, 2.637, 3.613]],
  "species": ["Y", "Y", "Co", "Co", "Al"],
  "fractional_positions": [[0.750, 0.250, 0.500], [0.250, 0.750, 0.500], [0.334, 0.334, 0.333], [0.666, 0.666, 0.667], [0.000, 0.000, 0.000]],
  "volume_a3_per_atom": 20.10,
  "total_energy_ev_per_atom": -6.2437
}

# 3
{
  "formula": "YAlCo",
  "functional": "PBE",
  "state": "optimized geometry",
  "cell": [[-4.006, -1.382, -0.196], [3.055, -2.554, 1.463], [-0.596, 1.244, 3.418]],
  "species": ["Y", "Co", "Al"],
  "fractional_positions": [[0.333, 0.667, 0.667], [0.667, 0.333, 0.167], [0.000, 0.000, 0.167]],
  "volume_a3_per_atom": 19.15,
  "total_energy_ev_per_atom": -6.0781
}

# 4
{
  "formula": "Y2Al2Co15",
  "functional": "PBE",
  "state": "optimized geometry",
  "cell": [[-5.268, 2.005, 2.835], [-2.094, -5.644, 1.889], [2.285, 0.221, 5.877]],
  "species": ["Y", "Y", "Al", "Al", "Co", "Co", "Co", "Co", "Co", "Co", "Co", "Co", "Co", "Co", "Co", "Co", "Co", "Co", "Co"],
  "fractional_positions": [[0.352, 0.352, 0.352], [0.648, 0.648, 0.648], [0.106, 0.106, 0.106], [0.894, 0.894, 0.894], [0.500, 0.000, 0.000], [0.000, 0.000, 0.500], [0.000, 0.500, 0.000], [0.000, 0.713, 0.287], [0.713, 0.287, 0.000], [0.287, 0.000, 0.713], [0.287, 0.713, 0.000], [0.713, 0.000, 0.287], [0.000, 0.287, 0.713], [0.149, 0.649, 0.649], [0.649, 0.649, 0.149], [0.649, 0.149, 0.649], [0.851, 0.351, 0.351], [0.351, 0.351, 0.851], [0.351, 0.851, 0.351]],
  "polymorph_energy_mev_per_atom": 0,
  "volume_a3_per_atom": 12.92
}

# 5
{
  "formula": "Y2AlCo2",
  "functional": "PBE",
  "state": "optimized geometry",
  "cell": [[6.773, 0.000, 0.000], [0.000, 6.773, 0.000], [0.000, 0.000, 4.103]],
  "species": ["Y", "Y", "Y", "Y", "Co", "Co", "Co", "Co", "Al", "Al"],
  "fractional_positions": [[0.183, 0.683, 0.500], [0.683, 0.817, 0.500], [0.817, 0.317, 0.500], [0.317, 0.183, 0.500], [0.382, 0.882, 0.000], [0.882, 0.618, 0.000], [0.618, 0.118, 0.000], [0.118, 0.382, 0.000], [0.000, 0.000, 0.000], [0.500, 0.500, 0.000]],
  "volume_a3_per_atom": 18.82,
  "total_energy_ev_per_atom": -6.4736
}

# 6
{
  "formula": "YAlCo4",
  "functional": "PBE",
  "state": "optimized geometry",
  "cell": [[0.000, 3.465, 3.465], [3.465, 0.000, 3.465], [3.465, 3.465, 0.000]],
  "species": ["Y", "Al", "Co", "Co", "Co", "Co"],
  "fractional_positions": [[0.750, 0.750, 0.750], [0.000, 0.000, 0.000], [0.879, 0.374, 0.374], [0.374, 0.374, 0.879], [0.374, 0.879, 0.374], [0.374, 0.374, 0.374]],
  "polymorph_energy_mev_per_atom": 40,
  "volume_a3_per_atom": 13.86
}

# 7
{
  "formula": "Y3AlCo3",
  "functional": "PBE",
  "state": "optimized geometry",
  "cell": [[4.061, 0.000, 0.000], [-2.030, 5.052, 0.000], [0.000, 0.000, 12.983]],
  "species": ["Y", "Y", "Y", "Y", "Y", "Y", "Al", "Al", "Co", "Co", "Co", "Co", "Co", "Co"],
  "fractional_positions": [[0.207, 0.414, 0.896], [0.793, 0.586, 0.104], [0.207, 0.414, 0.604], [0.793, 0.586, 0.396], [0.495, 0.989, 0.750], [0.505, 0.011, 0.250], [0.500, 0.000, 0.000], [0.500, 0.000, 0.500], [0.918, 0.836, 0.906], [0.082, 0.164, 0.094], [0.918, 0.836, 0.594], [0.082, 0.164, 0.406], [0.798, 0.597, 0.750], [0.202, 0.403, 0.250]],
  "volume_a3_per_atom": 19.02,
  "total_energy_ev_per_atom": -6.6830
}

# 8
{
  "formula": "Y2Al5Co3",
  "functional": "PBE",
  "state": "optimized geometry",
  "cell": [[4.025, 0.000, -0.686], [0.000, 6.672, 0.000], [0.036, 0.000, 12.368]],
  "species": ["Y", "Y", "Y", "Y", "Al", "Al", "Al", "Al", "Al", "Al", "Al", "Al", "Al", "Al", "Co", "Co", "Co", "Co", "Co", "Co"],
  "fractional_positions": [[0.473, 0.787, 0.946], [0.175, 0.706, 0.351], [0.825, 0.206, 0.649], [0.527, 0.287, 0.054], [0.404, 0.403, 0.808], [0.287, 0.502, 0.573], [0.713, 0.002, 0.427], [0.131, 0.233, 0.263], [0.292, 0.891, 0.585], [0.945, 0.119, 0.890], [0.708, 0.391, 0.415], [0.869, 0.733, 0.737], [0.055, 0.619, 0.110], [0.596, 0.903, 0.192], [0.769, 0.694, 0.537], [0.611, 0.533, 0.222], [0.047, 0.996, 0.094], [0.231, 0.194, 0.463], [0.953, 0.496, 0.906], [0.389, 0.033, 0.778]],
  "volume_a3_per_atom": 16.61,
  "total_energy_ev_per_atom": -5.7357
}

Which total magnetic moment belongs to each record? In order, 1.9; 0.0; 0.6; 19.8; 0.7; 4.3; 0.0; 0.0 μB per formula unit.